# 1
Compound: SrMoPt2
Source: Alexandria
Functional: GGA-PBE
Structure: optimized geometry

```
SrMoPt2
1.0
-1.165 -0.147 -7.477
7.468 -0.424 -1.155
2.971 -3.720 -4.221
Sr Mo Pt
2 2 4
Direct
0.500 0.500 0.000 Sr
0.250 0.750 0.500 Sr
0.000 0.000 0.000 Mo
0.750 0.250 0.500 Mo
0.704 0.125 0.250 Pt
0.046 0.625 0.250 Pt
0.375 0.296 0.750 Pt
0.875 0.954 0.750 Pt
```

Calculated values
Total DFT energy (no corrections), eV/atom: -5.990
Total magnetic moment, μB per cell: 1.95
Crystal system: tetragonal
Offset from the most stable computed form, meV per atom: 403
Volume, Å³/atom: 24.64
Space-group type: I-42d, No. 122
Calculated formation energy, eV/atom: 0.159



# 2
Compound: BeCoRe2
Source: Alexandria
Functional: GGA-PBE
Structure: optimized geometry

```
BeCoRe2
1.0
4.568 -0.029 0.000
-1.759 4.216 0.000
0.000 0.000 2.617
Re Co Be
2 1 1
Direct
0.000 0.000 0.000 Re
0.500 0.500 0.000 Re
0.000 0.500 0.500 Co
0.500 0.000 0.500 Be
```

Calculated values
Total DFT energy (no corrections), eV/atom: -8.752
Total magnetic moment, μB per cell: 0.46
Crystal system: orthorhombic
Volume, Å³/atom: 12.57
Space-group type: Cmmm, No. 65
Calculated formation energy, eV/atom: 0.180